Compound: Sr3Mg
Source: Alexandria
Functional: PBE
Structure: optimized geometry

```
data_Sr3Mg
_chemical_formula_sum 'Sr6 Mg2'
_symmetry_space_group_name_H-M 'I 4/m m m'
_symmetry_Int_Tables_number 139
_symmetry_space_group_name_Hall '-I 4 2'
_cell_length_a 5.6615
_cell_length_b 5.6615
_cell_length_c 11.3438
_cell_angle_alpha 90.00
_cell_angle_beta 90.00
_cell_angle_gamma 90.00
loop_
_atom_site_label
_atom_site_fract_x
_atom_site_fract_y
_atom_site_fract_z
Sr1 0.0000 0.0000 0.0000
Sr2 0.0000 0.5000 0.2500
Mg1 0.0000 0.0000 0.5000
```

## Properties
- ΔH_f (0 K): 0.05 eV/atom
- Total moment: 0.00 μB per formula unit
- Crystal system: tetragonal
- D(E_F): 1.416 states/eV/atom
- E_tot: -12.85 eV for the cell shown